[1]
A relaxed BeAsRh2 crystal, computed with GGA-PBE.

Properties
D(E_F) = 1.1085 states/eV/atom
V = 56 Å³ per cell
total magnetization = 0.00 μB per cell
distance to the lowest polymorph of the same formula = 502 meV/atom
energy relative to the elements = 0.128 eV/atom

a = 2.7794 Å, b = 2.7794 Å, c = 8.1911 Å
α = 90.00°, β = 90.00°, γ = 117.56°
Closest atoms and distances in Å follow each position.
Element x y z (fractional)
Rh (0.0000, 0.0000, 0.9676)  2 Be 2.19
Rh (0.5000, 0.5000, 0.2575)  2 As 2.51, 6 Rh 2.78
Be (0.5000, 0.5000, 0.7660)  2 Rh 2.19
As (0.0000, 0.0000, 0.5089)  2 Rh 2.51, 2 Be 2.55, 4 As 2.78


[2]
A relaxed HoTh3Sn12 crystal, computed with GGA-PBE.

Properties
D(E_F) = 0.4783 states/eV/atom
V = 426 Å³ per cell
total magnetization = 0.00 μB per cell
energy relative to the elements = -0.439 eV/atom

a = 4.7860 Å, b = 4.7860 Å, c = 18.6002 Å
α = 90.00°, β = 90.00°, γ = 90.00°
Closest atoms and distances in Å follow each position.
Element x y z (fractional)
Th (0.0000, 0.0000, 0.2490)  12 Sn 3.34-3.38
Sn (0.5000, 0.5000, 0.2472)  8 Sn 3.35-3.36, 4 Th 3.38
Sn (0.5000, 0.0000, 0.1215)  2 Ho 3.29, 8 Sn 3.29-3.38, 2 Th 3.37
Sn (0.5000, 0.5000, 0.5000)  8 Sn 3.35, 4 Th 3.38
Sn (0.5000, 0.0000, 0.6261)  4 Th 3.34-3.35, 8 Sn 3.35-3.38
Sn (0.0000, 0.5000, 0.3739)  4 Th 3.34-3.35, 8 Sn 3.35-3.38
Sn (0.0000, 0.5000, 0.6261)  4 Th 3.34-3.35, 8 Sn 3.35-3.38
Sn (0.0000, 0.5000, 0.1215)  8 Sn 3.29-3.38, 2 Ho 3.29, 2 Th 3.37
Sn (0.5000, 0.0000, 0.3739)  4 Th 3.34-3.35, 8 Sn 3.35-3.38
Sn (0.5000, 0.5000, 0.0000)  8 Sn 3.29, 4 Ho 3.38
Sn (0.0000, 0.5000, 0.8785)  8 Sn 3.29-3.38, 2 Ho 3.29, 2 Th 3.37
Th (0.0000, 0.0000, 0.7510)  12 Sn 3.34-3.38
Ho (0.0000, 0.0000, 0.0000)  12 Sn 3.29-3.38
Th (0.0000, 0.0000, 0.5000)  12 Sn 3.35-3.38
Sn (0.5000, 0.0000, 0.8785)  8 Sn 3.29-3.38, 2 Ho 3.29, 2 Th 3.37
Sn (0.5000, 0.5000, 0.7528)  8 Sn 3.35-3.36, 4 Th 3.38


[3]
A relaxed AcSmTc crystal, computed with GGA-PBE.

Properties
D(E_F) = 1.2684 states/eV/atom
V = 192 Å³ per cell
total magnetization = 0.00 μB per cell
energy relative to the elements = 0.322 eV/atom

a = 3.8381 Å, b = 6.0918 Å, c = 8.8314 Å
α = 101.53°, β = 90.00°, γ = 108.36°
Closest atoms and distances in Å follow each position.
Element x y z (fractional)
Sm (0.0000, 0.0000, 0.0000)  6 Ac 3.56-3.68, 2 Sm 3.84
Ac (0.6979, 0.3959, 0.8045)  3 Tc 3.19-3.32, 1 Sm 3.56
Sm (0.0000, 0.0000, 0.5000)  6 Tc 3.23-3.31
Tc (0.7077, 0.4154, 0.4312)  2 Tc 2.37
Ac (0.3021, 0.6041, 0.1955)  3 Tc 3.19-3.32, 1 Sm 3.56
Tc (0.2923, 0.5846, 0.5688)  2 Tc 2.37


[4]
A relaxed Y3Cu crystal, computed with GGA-PBE.

Properties
D(E_F) = 1.2046 states/eV/atom
V = 108 Å³ per cell
total magnetization = 0.00 μB per cell
energy relative to the elements = -0.066 eV/atom

a = 5.3001 Å, b = 6.4580 Å, c = 3.6361 Å
α = 73.65°, β = 90.00°, γ = 114.23°
Closest atoms and distances in Å follow each position.
Element x y z (fractional)
Y (0.4161, 0.0000, 0.5000)  4 Cu 3.20-3.23, 4 Y 3.50
Cu (0.9189, 0.0000, 0.0000)  8 Y 2.92-3.23
Y (0.7121, 0.5925, 0.7038)  2 Cu 2.92
Y (0.1196, 0.4075, 0.2962)  2 Cu 2.92


[5]
A relaxed Tb2Si3Os crystal, computed with GGA-PBE.

Properties
D(E_F) = 0.6694 states/eV/atom
V = 236 Å³ per cell
total magnetization = 0.00 μB per cell
distance to the lowest polymorph of the same formula = 0 meV/atom
E_form (uncorrected) = -63.1 kJ per mole of atoms

a = 5.7649 Å, b = 5.7649 Å, c = 8.1523 Å
α = 110.10°, β = 110.10°, γ = 91.61°
Closest atoms and distances in Å follow each position.
Element x y z (fractional)
Os (0.3351, 0.3351, 0.6702)  3 Si 2.37
Tb (0.2588, 0.2588, 0.0000)  2 Os 3.04, 10 Si 3.08-3.17
Tb (0.7412, 0.7412, 0.0000)  2 Os 3.04, 10 Si 3.08-3.17
Si (0.8346, 0.3335, 0.1681)  1 Os 2.37, 2 Si 2.38
Si (0.6665, 0.1654, 0.8319)  1 Os 2.37, 2 Si 2.38
Si (0.3335, 0.8346, 0.1681)  1 Os 2.37, 2 Si 2.38
Tb (0.7500, 0.2500, 0.5000)  8 Si 3.10-3.11, 4 Os 3.12
Tb (0.2500, 0.7500, 0.5000)  8 Si 3.10-3.11, 4 Os 3.12
Si (0.8317, 0.8317, 0.6634)  1 Os 2.37, 2 Si 2.38
Si (0.1654, 0.6665, 0.8319)  1 Os 2.37, 2 Si 2.38
Si (0.1683, 0.1683, 0.3366)  1 Os 2.37, 2 Si 2.38
Os (0.6649, 0.6649, 0.3298)  3 Si 2.37


[6]
A relaxed Sr2Zn2Pb crystal, computed with GGA-PBE.

Properties
D(E_F) = 0.7750 states/eV/atom
V = 321 Å³ per cell
total magnetization = 0.00 μB per cell
distance to the lowest polymorph of the same formula = 238 meV/atom
energy relative to the elements = -0.051 eV/atom

a = 9.1530 Å, b = 9.1530 Å, c = 3.8276 Å
α = 90.00°, β = 90.00°, γ = 90.00°
Closest atoms and distances in Å follow each position.
Element x y z (fractional)
Zn (0.6076, 0.8924, 0.5000)  1 Zn 2.79
Zn (0.8924, 0.3924, 0.5000)  1 Zn 2.79
Sr (0.8191, 0.6809, 0.0000)  6 Zn 3.33-3.34, 2 Pb 3.36
Pb (0.0000, 0.0000, 0.0000)  4 Sr 3.36
Sr (0.1809, 0.3191, 0.0000)  6 Zn 3.33-3.34, 2 Pb 3.36
Zn (0.3924, 0.1076, 0.5000)  1 Zn 2.79
Sr (0.3191, 0.8191, 0.0000)  6 Zn 3.33-3.34, 2 Pb 3.36
Pb (0.5000, 0.5000, 0.0000)  4 Sr 3.36
Sr (0.6809, 0.1809, 0.0000)  6 Zn 3.33-3.34, 2 Pb 3.36
Zn (0.1076, 0.6076, 0.5000)  1 Zn 2.79


[7]
A relaxed Na8SnAu2 crystal, computed with GGA-PBE.

Properties
D(E_F) = 0.5245 states/eV/atom
V = 306 Å³ per cell
total magnetization = 0.00 μB per cell
distance to the lowest polymorph of the same formula = 0 meV/atom
energy relative to the elements = -0.191 eV/atom

a = 5.4059 Å, b = 6.9079 Å, c = 9.2746 Å
α = 111.68°, β = 106.81°, γ = 90.40°
Closest atoms and distances in Å follow each position.
Element x y z (fractional)
Na (0.9388, 0.4726, 0.5231)  3 Au 2.98-3.15, 1 Na 3.33
Na (0.3253, 0.8593, 0.2959)  3 Au 2.99-3.16, 1 Na 3.33
Na (0.1555, 0.5031, 0.9087)  5 Na 3.20-3.58, 1 Sn 3.20
Au (0.4631, 0.2762, 0.5768)  8 Na 2.99-3.26
Na (0.6473, 0.2486, 0.9099)  2 Au 3.03-3.04, 4 Na 3.20-3.26, 2 Sn 3.31-3.35
Na (0.5340, 0.7484, 0.7044)  1 Au 3.01, 4 Na 3.22-3.35, 2 Sn 3.27-3.29
Na (0.7378, 0.9494, 0.1118)  1 Au 3.00, 4 Na 3.22-3.35, 2 Sn 3.27-3.29
Au (0.7948, 0.6080, 0.2424)  8 Na 2.98-3.27
Na (0.9599, 0.0119, 0.5645)  3 Au 3.13-3.26, 1 Sn 3.19, 3 Na 3.34-3.49
Sn (0.1393, 0.9668, 0.9089)  9 Na 3.19-3.35
Na (0.3042, 0.3556, 0.2535)  3 Au 3.12-3.27, 1 Sn 3.19, 3 Na 3.35-3.49


[8]
A relaxed TlNi2OsRh crystal, computed with GGA-PBE.

Properties
D(E_F) = 1.5636 states/eV/atom
V = 99 Å³ per cell
total magnetization = 2.05 μB per cell
energy relative to the elements = 1.378 eV/atom

a = 4.5953 Å, b = 4.5953 Å, c = 4.6829 Å
α = 90.00°, β = 90.00°, γ = 90.00°
Closest atoms and distances in Å follow each position.
Element x y z (fractional)
Tl (0.5000, 0.5000, 0.5000)  4 Os 3.25, 8 Ni 3.28
Ni (0.0000, 0.5000, 0.0000)  2 Rh 2.30
Rh (0.0000, 0.0000, 0.0000)  4 Ni 2.30, 2 Os 2.34
Ni (0.5000, 0.0000, 0.0000)  2 Rh 2.30
Os (0.0000, 0.0000, 0.5000)  2 Rh 2.34


[9]
A relaxed Sr2PuO8 crystal, computed with GGA-PBE.

Properties
V = 200 Å³ per cell
total magnetization = 1.94 μB per cell
E_form (uncorrected) = -194.4 kJ per mole of atoms

a = 6.2612 Å, b = 6.6555 Å, c = 6.6555 Å
α = 58.04°, β = 62.75°, γ = 62.75°
Closest atoms and distances in Å follow each position.
Element x y z (fractional)
O (0.9480, 0.0986, 0.6819)  1 Pu 2.00
O (0.9480, 0.6819, 0.0986)  1 Pu 2.00
Sr (0.8113, 0.7564, 0.7564)  5 O 2.44-2.52
O (0.0520, 0.3181, 0.9014)  1 Pu 2.00
O (0.6446, 0.1317, 0.1317)  1 Pu 1.93
Sr (0.1887, 0.2436, 0.2436)  5 O 2.44-2.52
Pu (0.0000, 0.0000, 0.0000)  6 O 1.93-2.00
O (0.3554, 0.8683, 0.8683)  1 Pu 1.93
O (0.0520, 0.9014, 0.3181)  1 Pu 2.00
O (0.5420, 0.4388, 0.4388)  1 O 1.23
O (0.4580, 0.5612, 0.5612)  1 O 1.23


[10]
A relaxed Ag2IrAu crystal, computed with GGA-PBE.

Properties
D(E_F) = 0.8986 states/eV/atom
V = 148 Å³ per cell
total magnetization = 0.00 μB per cell
distance to the lowest polymorph of the same formula = 393 meV/atom
energy relative to the elements = 0.609 eV/atom

a = 3.8803 Å, b = 3.8803 Å, c = 10.2048 Å
α = 79.04°, β = 79.04°, γ = 90.00°
Closest atoms and distances in Å follow each position.
Element x y z (fractional)
Au (0.0000, 0.0000, 0.0000)  4 Ir 2.74, 4 Ag 2.82
Ag (0.6216, 0.1250, 0.2500)  4 Ag 2.73-2.76, 2 Ir 2.81, 2 Au 2.82
Ag (0.1284, 0.6250, 0.2500)  4 Ag 2.73-2.76, 2 Ir 2.81, 2 Au 2.82
Ag (0.8750, 0.8716, 0.7500)  4 Ag 2.73-2.76, 2 Ir 2.81, 2 Au 2.82
Ir (0.2500, 0.7500, 0.5000)  4 Au 2.74, 4 Ag 2.81
Ag (0.3750, 0.3784, 0.7500)  4 Ag 2.73-2.76, 2 Ir 2.81, 2 Au 2.82
Au (0.7500, 0.2500, 0.5000)  4 Ir 2.74, 4 Ag 2.82
Ir (0.5000, 0.5000, 0.0000)  4 Au 2.74, 4 Ag 2.81


[11]
A relaxed B5C7 crystal, computed with GGA-PBE.

Properties
D(E_F) = 0.1876 states/eV/atom
V = 81 Å³ per cell
total magnetization = 0.00 μB per cell
distance to the lowest polymorph of the same formula = 116 meV/atom
energy relative to the elements = 0.374 eV/atom

a = 2.5728 Å, b = 4.7723 Å, c = 6.5946 Å
α = 92.12°, β = 90.00°, γ = 90.00°
Closest atoms and distances in Å follow each position.
Element x y z (fractional)
C (0.0000, 0.9978, 0.9886)  3 B 1.56-1.59, 1 C 1.58
C (0.5000, 0.4803, 0.2632)  2 C 1.54, 2 B 1.56-1.66
C (0.0000, 0.3243, 0.5770)  3 C 1.56-1.57, 1 B 1.66
B (0.0000, 0.6490, 0.6778)  4 C 1.63-1.71
B (0.5000, 0.0979, 0.8785)  3 C 1.56-1.58
C (0.0000, 0.6751, 0.9252)  3 B 1.58-1.63, 1 C 1.58
B (0.5000, 0.5715, 0.0385)  3 C 1.56-1.58
C (0.0000, 0.3427, 0.3403)  3 C 1.54-1.57, 1 B 1.61
B (0.0000, 0.0362, 0.2287)  2 C 1.59-1.61
B (0.5000, 0.8118, 0.3488)  2 C 1.57-1.66
C (0.5000, 0.8420, 0.5864)  3 B 1.57-1.71, 1 C 1.61
C (0.5000, 0.1715, 0.6472)  3 C 1.56-1.61, 1 B 1.58


[12]
A relaxed SrSi2Au crystal, computed with GGA-PBE.

Properties
D(E_F) = 0.3637 states/eV/atom
V = 93 Å³ per cell
total magnetization = 0.00 μB per cell
E_form (uncorrected) = -23.1 kJ per mole of atoms

a = 6.3316 Å, b = 6.3316 Å, c = 6.3316 Å
α = 144.72°, β = 140.11°, γ = 54.30°
Closest atoms and distances in Å follow each position.
Element x y z (fractional)
Sr (0.5404, 0.5404, 0.0000)  6 Si 3.19-3.28, 4 Au 3.41-3.55
Si (0.7665, 0.2665, 0.5000)  2 Si 2.46
Si (0.9029, 0.9029, 0.0000)  2 Si 2.46, 2 Au 2.51
Au (0.2902, 0.7902, 0.5000)  2 Si 2.51